(1)
# Sm11In9Ag4, optimized geometry, DFT PBE
data_Sm11In9Ag4
_chemical_formula_sum 'Sm22 In18 Ag8'
_symmetry_space_group_name_H-M 'C m m m'
_symmetry_Int_Tables_number 65
_symmetry_space_group_name_Hall '-C 2 2'
_cell_length_a 14.9835
_cell_length_b 22.5560
_cell_length_c 3.8152
_cell_angle_alpha 90.00
_cell_angle_beta 90.00
_cell_angle_gamma 90.00
loop_
_atom_site_label
_atom_site_type_symbol
_atom_site_fract_x
_atom_site_fract_y
_atom_site_fract_z
Sm1 Sm 0.0000 0.0000 0.0000
Sm2 Sm 0.0000 0.1618 0.0000
Sm3 Sm 0.0000 0.3684 0.0000
Sm4 Sm 0.1996 0.5000 0.0000
Sm5 Sm 0.2355 0.1746 0.0000
In1 In 0.0000 0.5000 0.5000
In2 In 0.1045 0.2640 0.5000
In3 In 0.1429 0.0723 0.5000
Ag1 Ag 0.1525 0.3994 0.5000
# - energy of formation from the pure elements (meV per atom) = -436
# - spin magnetization (μB/atom) = 0.000
# - Fermi-level density of states (states/eV per cell) = 35.089
# - total DFT energy (no corrections) (eV per atom) = -4.102

***

(2)
# Zr3BrO, optimized geometry, DFT PBE
data_Zr3BrO
_chemical_formula_sum 'Zr3 Br1 O1'
_symmetry_space_group_name_H-M 'P m -3 m'
_symmetry_Int_Tables_number 221
_symmetry_space_group_name_Hall '-P 4 2 3'
_cell_length_a 4.5340
_cell_length_b 4.5340
_cell_length_c 4.5340
_cell_angle_alpha 90.00
_cell_angle_beta 90.00
_cell_angle_gamma 90.00
loop_
_atom_site_label
_atom_site_type_symbol
_atom_site_fract_x
_atom_site_fract_y
_atom_site_fract_z
Zr1 Zr 0.0000 0.0000 0.5000
Br1 Br 0.5000 0.5000 0.5000
O1 O 0.0000 0.0000 0.0000
# - E_form (uncorrected) (eV/f.u.) = -3.3
# - spin magnetization (μB/atom) = 0.000
# - Fermi-level density of states (states/eV per cell) = 6.541
# - total DFT energy (no corrections) (eV per atom) = -7.125

***

(3)
# RuPb2Cl, optimized geometry, DFT PBE
data_RuPb2Cl
_chemical_formula_sum 'Ru1 Pb2 Cl1'
_symmetry_space_group_name_H-M 'P m m m'
_symmetry_Int_Tables_number 47
_cell_length_a 3.3748
_cell_length_b 4.6171
_cell_length_c 6.5133
_cell_angle_alpha 90.00
_cell_angle_beta 90.00
_cell_angle_gamma 90.00
loop_
_symmetry_equiv_pos_as_xyz
'x,y,z'
'-x,-y,-z'
'-x,-y,z'
'x,y,-z'
'x,-y,-z'
'-x,y,z'
'-x,y,-z'
'x,-y,z'
loop_
_atom_site_label
_atom_site_type_symbol
_atom_site_fract_x
_atom_site_fract_y
_atom_site_fract_z
Ru1 Ru 0.0000 0.0000 0.0000
Pb1 Pb 0.0000 0.5000 0.5000
Pb2 Pb 0.5000 0.5000 0.0000
Cl1 Cl 0.5000 0.0000 0.5000
# - E_form (uncorrected) (eV/f.u.) = 1.8
# - spin magnetization (μB/atom) = 0.329
# - Fermi-level density of states (states/eV per cell) = 4.094
# - total DFT energy (no corrections) (eV per atom) = -4.196